No. 1
Material: Ac2Al4RuPt3
Method: DFT, PBE
State: relaxed

POSCAR file:
```
Ac2Al4RuPt3
1.0
4.415 0.000 0.000
0.000 4.415 0.000
0.000 0.000 10.410
Ac Pt Al Ru
2 3 4 1
Direct
0.500 0.000 0.258 Ac
0.000 0.500 0.742 Ac
0.500 0.000 0.870 Pt
0.000 0.500 0.130 Pt
0.000 0.000 0.500 Pt
0.000 0.000 0.000 Al
0.500 0.000 0.617 Al
0.000 0.500 0.383 Al
0.500 0.500 0.000 Al
0.500 0.500 0.500 Ru
```

- DFT total energy (hartree per atom) = -0.2219

No. 2
Material: CsCaZnTe
Method: DFT, PBE
State: relaxed

POSCAR file:
```
CsCaZnTe
1.0
4.150 0.000 0.000
0.000 4.150 0.000
0.000 0.000 8.403
Zn Cs Ca Te
1 1 1 1
Direct
0.000 0.000 0.463 Zn
0.500 0.500 0.784 Cs
0.500 0.500 0.265 Ca
0.000 0.000 0.102 Te
```

- uncorrected formation energy (eV per atom) = -0.6651
- offset from the most stable computed form (kJ per mole of atoms) = 0.0

No. 3
Material: ErHfHgIr
Method: DFT, PBE
State: relaxed

POSCAR file:
```
ErHfHgIr
1.0
-1.786 -0.586 4.509
-4.451 -1.910 0.634
-0.489 -4.487 1.869
Er Hg Ir Hf
1 1 1 1
Direct
0.000 0.000 0.000 Er
0.750 0.750 0.750 Hg
0.250 0.250 0.250 Ir
0.500 0.500 0.500 Hf
```

- DFT total energy (hartree per atom) = -0.2342

No. 4
Material: Li6Cd6In
Method: DFT, PBE
State: relaxed

POSCAR file:
```
Li6Cd6In
1.0
-1.562 -2.393 -4.978
5.531 0.086 1.533
-1.116 -8.655 4.511
Li Cd In
6 6 1
Direct
0.333 0.667 0.000 Li
0.333 0.667 0.500 Li
0.667 0.333 0.000 Li
0.000 0.000 0.342 Li
0.000 0.000 0.658 Li
0.667 0.333 0.500 Li
0.500 0.500 0.749 Cd
0.500 0.000 0.749 Cd
0.000 0.500 0.251 Cd
0.000 0.500 0.749 Cd
0.500 0.000 0.251 Cd
0.500 0.500 0.251 Cd
0.000 0.000 0.000 In
```

- DFT total energy (hartree per atom) = -0.0609

No. 5
Material: InBPO2
Method: DFT, PBE
State: relaxed

POSCAR file:
```
InBPO2
1.0
3.498 0.000 0.000
0.000 3.498 0.000
0.000 0.000 4.743
P O In B
1 2 1 1
Direct
0.000 0.000 0.500 P
0.000 0.500 0.000 O
0.500 0.000 0.000 O
0.500 0.500 0.500 In
0.000 0.000 0.000 B
```

- uncorrected formation energy (eV per atom) = 0.0685
- offset from the most stable computed form (kJ per mole of atoms) = 0.0

No. 6
Material: ErLuSiPt
Method: DFT, PBE
State: relaxed

POSCAR file:
```
ErLuSiPt
1.0
-0.849 1.372 4.630
3.558 -0.357 3.354
2.106 4.054 1.781
Pt Lu Si Er
1 1 1 1
Direct
0.750 0.750 0.750 Pt
0.500 0.500 0.500 Lu
0.250 0.250 0.250 Si
0.000 0.000 0.000 Er
```

- uncorrected formation energy (eV per atom) = -0.8861

No. 7
Material: K3RbH6Pd2
Method: DFT, PBE
State: relaxed

POSCAR file:
```
K3RbH6Pd2
1.0
-0.850 -3.295 -5.090
-3.600 -0.904 4.870
-4.936 5.369 -2.651
H K Pd Rb
6 3 2 1
Direct
0.353 0.176 0.763 H
0.824 0.176 0.763 H
0.176 0.353 0.237 H
0.824 0.647 0.763 H
0.647 0.824 0.237 H
0.176 0.824 0.237 H
0.000 0.000 0.000 K
0.333 0.667 0.771 K
0.667 0.333 0.229 K
0.667 0.333 0.799 Pd
0.333 0.667 0.201 Pd
0.000 0.000 0.500 Rb
```

- DFT total energy (hartree per atom) = -0.1080

No. 8
Material: PmHo4S7
Method: DFT, PBE
State: relaxed

POSCAR file:
```
PmHo4S7
1.0
3.810 0.000 0.000
-1.905 6.254 -1.631
0.000 0.038 11.645
S Pm Ho
7 1 4
Direct
0.252 0.505 0.649 S
0.738 0.477 0.348 S
0.957 0.914 0.215 S
0.659 0.319 0.051 S
0.045 0.090 0.790 S
0.503 0.006 0.495 S
0.343 0.685 0.950 S
0.888 0.777 0.580 Pm
0.112 0.224 0.418 Ho
0.300 0.600 0.186 Ho
0.701 0.401 0.815 Ho
0.001 0.002 0.002 Ho
```

- uncorrected formation energy (eV per atom) = -2.0568

No. 9
Material: TaIn2HgBr
Method: DFT, PBE
State: relaxed

POSCAR file:
```
TaIn2HgBr
1.0
5.624 0.000 0.000
0.000 5.519 0.000
0.000 0.000 5.624
Ta In Br Hg
1 2 1 1
Direct
0.500 0.500 0.500 Ta
0.000 0.000 0.500 In
0.500 0.000 0.000 In
0.000 0.000 0.000 Br
0.000 0.500 0.000 Hg
```

- uncorrected formation energy (eV per atom) = 1.3746

No. 10
Material: AlPRuO2
Method: DFT, PBE
State: relaxed

POSCAR file:
```
AlPRuO2
1.0
3.741 0.000 0.000
0.000 3.741 0.000
0.000 0.000 5.268
Al Ru P O
1 1 1 2
Direct
0.500 0.500 0.500 Al
0.000 0.000 0.000 Ru
0.000 0.000 0.500 P
0.000 0.500 0.000 O
0.500 0.000 0.000 O
```

- uncorrected formation energy (eV per atom) = -0.4140
- offset from the most stable computed form (kJ per mole of atoms) = 24.9

No. 11
Material: LiYPt2
Method: DFT, PBE
State: relaxed

POSCAR file:
```
LiYPt2
1.0
4.856 0.009 -0.002
0.903 4.771 0.002
-2.875 -2.395 3.094
Pt Li Y
2 1 1
Direct
0.000 0.000 0.000 Pt
0.500 0.500 0.000 Pt
0.250 0.750 0.500 Li
0.750 0.250 0.500 Y
```

- DFT total energy (hartree per atom) = -0.2212

No. 12
Material: KTbI3
Method: DFT, PBE
State: relaxed

POSCAR file:
```
KTbI3
1.0
6.071 0.000 0.000
0.000 6.071 0.000
0.000 0.000 6.071
Tb I K
1 3 1
Direct
0.000 0.000 0.000 Tb
0.000 0.500 0.000 I
0.000 0.000 0.500 I
0.500 0.000 0.000 I
0.500 0.500 0.500 K
```

- uncorrected formation energy (eV per atom) = -1.1582

| no. | magnetic moment (μB per formula unit) |
| --- | --- |
| 1 | 0.00 |
| 2 | 0.00 |
| 3 | 0.00 |
| 4 | 0.00 |
| 5 | 0.01 |
| 6 | 0.00 |
| 7 | 0.00 |
| 8 | 0.00 |
| 9 | 3.39 |
| 10 | 0.31 |
| 11 | 0.00 |
| 12 | 0.01 |